VASP calculation (PBE-GGA) on a relaxed structure of RbLiZnTe2. Values from VASP.

Computed properties:
The calculation puts the total DFT energy (no corrections) at -2.85 eV per atom. The calculation puts the energy relative to the elements, uncorrected at -762.7 meV per atom. The value obtained for the magnetic moment is 0.0 μB/f.u. As for the volume: 338.1 Å³/cell.

Structure (Quantum ESPRESSO input):
```
&SYSTEM
  ibrav = 0, nat = 10, ntyp = 4
/
ATOMIC_SPECIES
Rb 85.47 Rb.upf
Li 6.94 Li.upf
Zn 65.41 Zn.upf
Te 127.60 Te.upf
CELL_PARAMETERS angstrom
3.253 -7.788 0.000
3.253 7.788 0.000
0.000 0.000 6.672
ATOMIC_POSITIONS crystal
Rb 0.250 0.750 0.774
Rb 0.750 0.250 0.226
Li 0.250 0.250 0.500
Li 0.750 0.750 0.500
Zn 0.000 0.000 0.000
Zn 0.500 0.500 0.000
Te 0.112 0.888 0.265
Te 0.388 0.612 0.265
Te 0.612 0.388 0.735
Te 0.888 0.112 0.735
```